Record 1
The following is a PBE calculation of a geometry-optimized KTbFeTe3 structure, from OQMD.

Computed properties:
DFT total energy = -28.6 eV/f.u.
relative energy among the computed polymorphs = 19 meV/atom
volume = 32.9 Å³/atom
space-group type = No. 62

Geometry as POSCAR:
```
KTbFeTe3
1.0
11.542 0.000 0.000
0.000 4.377 0.000
0.000 0.000 15.629
K Tb Fe Te
4 4 4 12
direct
0.229 0.250 0.001
0.271 0.750 0.501
0.729 0.250 0.499
0.771 0.750 0.999
0.009 0.750 0.255
0.491 0.250 0.755
0.509 0.750 0.245
0.991 0.250 0.745
0.243 0.750 0.782
0.257 0.250 0.282
0.743 0.750 0.718
0.757 0.250 0.218
0.055 0.750 0.876
0.077 0.250 0.385
0.243 0.250 0.681
0.257 0.750 0.181
0.423 0.750 0.885
0.445 0.250 0.376
0.555 0.750 0.624
0.577 0.250 0.115
0.743 0.250 0.819
0.757 0.750 0.319
0.923 0.750 0.615
0.945 0.250 0.124
```


Record 2
The following is a PBE calculation of a geometry-optimized KTbFeTe3 structure, from OQMD.

Computed properties:
DFT total energy = -28.6 eV/f.u.
relative energy among the computed polymorphs = 20 meV/atom
volume = 32.9 Å³/atom
space-group type = No. 62

Geometry as POSCAR:
```
KTbFeTe3
1.0
11.542 0.000 0.000
0.000 4.366 0.000
0.000 0.000 15.650
K Tb Fe Te
4 4 4 12
direct
0.233 0.250 0.003
0.267 0.750 0.503
0.733 0.250 0.497
0.767 0.750 0.997
0.002 0.750 0.256
0.498 0.250 0.756
0.502 0.750 0.244
0.998 0.250 0.744
0.248 0.750 0.785
0.252 0.250 0.285
0.748 0.750 0.715
0.752 0.250 0.215
0.058 0.750 0.877
0.071 0.250 0.387
0.250 0.250 0.683
0.250 0.750 0.183
0.429 0.750 0.887
0.442 0.250 0.377
0.558 0.750 0.623
0.571 0.250 0.113
0.750 0.250 0.817
0.750 0.750 0.317
0.929 0.750 0.613
0.942 0.250 0.123
```


Record 3
The following is a PBE calculation of a geometry-optimized KFe5Te8 structure, from OQMD.

Computed properties:
DFT total energy = -69.6 eV/f.u.
volume = 23.0 Å³/atom
space-group type = No. 12

Geometry as POSCAR:
```
KFe5Te8
1.0
9.850 -1.925 0.000
9.850 1.925 0.000
-2.165 0.000 8.498
K Fe Te
1 5 8
direct
0.000 0.000 0.000
0.159 0.159 0.493
0.202 0.202 0.803
0.500 0.500 0.500
0.798 0.798 0.197
0.841 0.841 0.507
0.072 0.072 0.665
0.261 0.261 0.352
0.320 0.320 0.014
0.408 0.408 0.671
0.592 0.592 0.329
0.680 0.680 0.986
0.739 0.739 0.648
0.928 0.928 0.335
```


Record 4
The following is a PBE calculation of a geometry-optimized KFe3Te5 structure, from OQMD.

Computed properties:
DFT total energy = -42.8 eV/f.u.
volume = 26.2 Å³/atom
space-group type = No. 191

Geometry as POSCAR:
```
KFe3Te5
1.0
5.825 0.000 0.000
-2.913 5.045 0.000
0.000 0.000 8.036
K Fe Te
1 3 5
direct
0.000 0.000 0.000
0.000 0.500 0.500
0.500 0.000 0.500
0.500 0.500 0.500
0.000 0.000 0.500
0.333 0.667 0.258
0.333 0.667 0.742
0.667 0.333 0.258
0.667 0.333 0.742
```


Repeat the fourth record exactly.
The following is a PBE calculation of a geometry-optimized KFe3Te5 structure, from OQMD.

Computed properties:
DFT total energy = -42.8 eV/f.u.
volume = 26.2 Å³/atom
space-group type = No. 191

Geometry as POSCAR:
```
KFe3Te5
1.0
5.825 0.000 0.000
-2.913 5.045 0.000
0.000 0.000 8.036
K Fe Te
1 3 5
direct
0.000 0.000 0.000
0.000 0.500 0.500
0.500 0.000 0.500
0.500 0.500 0.500
0.000 0.000 0.500
0.333 0.667 0.258
0.333 0.667 0.742
0.667 0.333 0.258
0.667 0.333 0.742
```


Q: Number 4 is which compound?
A: KFe3Te5


Q: Number 1 is which compound?
A: KTbFeTe3